# NaBAsPb2 | Alexandria | PBE-GGA | relaxed
# * E: -12.7 eV per cell
# * spin magnetization: 0.00 Bohr magnetons per cell
# * ρ: 5544 kg/m3
# * energy of formation from the pure elements: 34.00 kcal/mol of atoms
# * volume: 31.3 A^3/atom
# * N(E_F): 3.4 states/eV/cell
data_NaBAsPb2
_symmetry_space_group_name_H-M 'P 4/m m m'
_symmetry_Int_Tables_number 123
_symmetry_space_group_name_Hall '-P 4 2'
_cell_length_a 5.602
_cell_length_b 5.602
_cell_length_c 4.993
_cell_angle_alpha 90.00
_cell_angle_beta 90.00
_cell_angle_gamma 90.00
loop_
_atom_site_label
_atom_site_type_symbol
_atom_site_fract_x
_atom_site_fract_y
_atom_site_fract_z
Na1 Na 0.000 0.000 0.000
B1 B 0.500 0.500 0.500
As1 As 0.000 0.000 0.500
Pb1 Pb 0.000 0.500 0.000